[1]
VASP calculation (GGA-PBE) on an optimized crystal structure of AlCu2Re.

Calculated values
* total energy: -0.4158 Ry per atom
* SG: F-43m, No. 216

Cell and atoms, written as POSCAR:
```
AlCu2Re
1.0
5.963 0.000 0.000
0.000 5.963 0.000
0.000 0.000 5.963
Al Cu Re
4 8 4
direct
0.000 0.000 0.000
0.000 0.500 0.500
0.500 0.000 0.500
0.500 0.500 0.000
0.000 0.000 0.500
0.000 0.500 0.000
0.250 0.250 0.750
0.250 0.750 0.250
0.500 0.000 0.000
0.500 0.500 0.500
0.750 0.250 0.250
0.750 0.750 0.750
0.250 0.250 0.250
0.250 0.750 0.750
0.750 0.250 0.750
0.750 0.750 0.250
```

=====

[2]
VASP calculation (GGA-PBE) on an optimized crystal structure of YAl2Co.

Calculated values
* total energy: -0.4268 Ry per atom
* SG: Cmcm, No. 63

Cell and atoms, written as POSCAR:
```
YAl2Co
1.0
4.016 0.000 0.000
0.000 10.087 0.000
0.000 0.000 7.006
Y Al Co
4 8 4
direct
0.000 0.060 0.250
0.000 0.940 0.750
0.500 0.440 0.750
0.500 0.560 0.250
0.000 0.339 0.056
0.000 0.339 0.444
0.000 0.661 0.556
0.000 0.661 0.944
0.500 0.161 0.556
0.500 0.161 0.944
0.500 0.839 0.056
0.500 0.839 0.444
0.000 0.217 0.750
0.000 0.783 0.250
0.500 0.283 0.250
0.500 0.717 0.750
```

=====

[3]
VASP calculation (GGA-PBE) on an optimized crystal structure of PrSmGe2Os2.

Calculated values
* total energy: -0.5387 Ry per atom
* SG: P4mm, No. 99

Cell and atoms, written as POSCAR:
```
PrSmGe2Os2
1.0
4.275 0.000 0.000
0.000 4.275 0.000
0.000 0.000 6.999
Pr Sm Ge Os
1 1 2 2
direct
0.000 0.000 0.000
0.500 0.500 0.632
0.000 0.000 0.520
0.500 0.500 0.125
0.000 0.500 0.322
0.500 0.000 0.322
```

=====

[4]
VASP calculation (GGA-PBE) on an optimized crystal structure of Zr4CoSiC2.

Calculated values
* total energy: -0.6389 Ry per atom
* SG: P-6m2, No. 187

Cell and atoms, written as POSCAR:
```
Zr4CoSiC2
1.0
3.299 0.000 0.000
-1.650 2.857 0.000
0.000 0.000 13.407
Zr Co Si C
4 1 1 2
direct
0.000 0.000 0.144
0.000 0.000 0.856
0.667 0.333 0.342
0.667 0.333 0.658
0.667 0.333 0.000
0.000 0.000 0.500
0.333 0.667 0.246
0.333 0.667 0.754
```

=====

[5]
VASP calculation (GGA-PBE) on an optimized crystal structure of KSiAgSe3.

Calculated values
* energy above the lowest structure with this stoichiometry: 0.099 eV/atom
* SG: Cmcm, No. 63

Cell and atoms, written as POSCAR:
```
KSiAgSe3
1.0
1.809 -7.728 0.000
1.809 7.728 0.000
0.000 0.000 10.657
K Si Ag Se
2 2 2 6
direct
0.226 0.774 0.750
0.774 0.226 0.250
0.500 0.500 0.000
0.500 0.500 0.500
0.088 0.912 0.250
0.912 0.088 0.750
0.115 0.885 0.017
0.115 0.885 0.483
0.455 0.545 0.250
0.545 0.455 0.750
0.885 0.115 0.517
0.885 0.115 0.983
```

=====

[6]
VASP calculation (GGA-PBE) on an optimized crystal structure of Sc4CuGeN2.

Calculated values
* total energy: -0.5442 Ry per atom
* SG: P-6m2, No. 187

Cell and atoms, written as POSCAR:
```
Sc4CuGeN2
1.0
3.207 0.000 0.000
-1.603 2.777 0.000
0.000 0.000 13.632
Sc Cu Ge N
4 1 1 2
direct
0.000 0.000 0.155
0.000 0.000 0.845
0.333 0.667 0.338
0.333 0.667 0.662
0.333 0.667 0.000
0.000 0.000 0.500
0.667 0.333 0.252
0.667 0.333 0.748
```

=====

[7]
VASP calculation (GGA-PBE) on an optimized crystal structure of Y2Cu2Ge.

Calculated values
* energy above the lowest structure with this stoichiometry: 0.000 eV/atom
* SG: I4/mmm, No. 139

Cell and atoms, written as POSCAR:
```
Y2Cu2Ge
1.0
5.468 0.000 0.000
0.000 5.468 0.000
0.000 0.000 7.110
Y Cu Ge
4 4 2
direct
0.000 0.500 0.250
0.000 0.500 0.750
0.500 0.000 0.250
0.500 0.000 0.750
0.000 0.000 0.156
0.000 0.000 0.844
0.500 0.500 0.344
0.500 0.500 0.656
0.000 0.000 0.500
0.500 0.500 0.000
```

=====

[8]
VASP calculation (GGA-PBE) on an optimized crystal structure of SrTlPt.

Calculated values
* total energy: -0.2470 Ry per atom
* SG: F-43m, No. 216

Cell and atoms, written as POSCAR:
```
SrTlPt
1.0
7.194 0.000 0.000
0.000 7.194 0.000
0.000 0.000 7.194
Sr Tl Pt
4 4 4
direct
0.000 0.000 0.000
0.000 0.500 0.500
0.500 0.000 0.500
0.500 0.500 0.000
0.250 0.250 0.250
0.250 0.750 0.750
0.750 0.250 0.750
0.750 0.750 0.250
0.250 0.250 0.750
0.250 0.750 0.250
0.750 0.250 0.250
0.750 0.750 0.750
```